Density functional theory data (PBE with a Hubbard U) for a relaxed structure of CrGePdO.

## Properties
Mass density in Mg/m³: 6.82
Energy relative to the lowest polymorph listed for this composition in kJ per mole of atoms: 11.7
Size of the total moment in μB/f.u.: 3.35
Total DFT energy (no corrections) in eV/atom: -6.19

Unit cell a=3.1277 b=3.1277 c=21.3033 alpha=90.00 beta=90.00 gamma=120.00
Space group R3m (No. 160, hexagonal axes)
Inequivalent atoms, fractional coordinates:
Cr1 0.0000 0.0000 0.0000
Ge1 0.0000 0.0000 0.2284
Pd1 0.0000 0.0000 0.8149
O1 0.0000 0.0000 0.7057